DFT (PBEsol) results for Tm2Fe12P7 after structural relaxation.

* total energy: -8.36 eV per atom
* Fermi-level density of states: 21.01 states/eV per cell
* calculated volume: 11.4 Å³/atom
* energy of formation from the pure elements: -1703 kJ/mol of formula units

The structure in extended XYZ format:
```
21
Lattice="8.7914 0.0000 0.0000 -4.3957 7.6136 0.0000 0.0000 0.0000 3.5770" Properties=species:S:1:pos:R:3 pbc="T T T"
Tm 0.0000 0.0000 0.0000
Tm 0.0000 5.0757 1.7885
Fe -3.0191 5.7809 1.7885
Fe -0.8054 2.9114 0.0000
Fe 0.8988 2.1085 1.7885
Fe -1.4716 6.8554 0.0000
Fe 2.9534 1.8116 0.0000
Fe 4.2395 0.4489 1.7885
Fe 2.6647 3.7175 1.7885
Fe 2.2770 5.4603 0.0000
Fe 2.1203 7.3377 1.7885
Fe 5.7458 1.6519 0.0000
Fe 4.4879 4.1501 0.0000
Fe 6.2828 3.4471 1.7885
P -2.1388 4.7422 0.0000
P 2.0849 0.2697 1.7885
P 1.3582 3.3902 0.0000
P 0.7806 7.0947 0.0000
P 4.3957 2.5378 1.7885
P 3.5868 5.6731 1.7885
P 7.5154 1.6708 1.7885
```